No. 1
Below is a relaxed structure of Ta2FeRu, with properties calculated at the PBE level.

Properties
Its formation energy from the elements is -231.2 meV per atom. Its calculated total energy is -10.59 eV/atom.

```
data_Ta2FeRu
_cell_length_a 6.269
_cell_length_b 6.269
_cell_length_c 6.269
_cell_angle_alpha 90.00
_cell_angle_beta 90.00
_cell_angle_gamma 90.00
_symmetry_space_group_name_H-M 'F m -3 m'
_symmetry_Int_Tables_number 225
_symmetry_space_group_name_Hall '-F 4 2 3'
loop_
_atom_site_label
_atom_site_type_symbol
_atom_site_fract_x
_atom_site_fract_y
_atom_site_fract_z
Ta1 Ta 0.250 0.250 0.250
Fe1 Fe 0.000 0.000 0.000
Ru1 Ru 0.000 0.000 0.500
```

=====

No. 2
Below is a relaxed structure of Tb3HgTe, with properties calculated at the PBE level.

Properties
The uncorrected formation energy is -0.67 eV per atom. Its calculated total energy is -4.14 eV/atom.

```
data_Tb3HgTe
_cell_length_a 12.068
_cell_length_b 4.062
_cell_length_c 11.999
_cell_angle_alpha 90.00
_cell_angle_beta 90.00
_cell_angle_gamma 90.00
_symmetry_space_group_name_H-M 'P n m a'
_symmetry_Int_Tables_number 62
loop_
_symmetry_equiv_pos_as_xyz
'x,y,z'
'-x,-y,-z'
'-x+1/2,-y,z+1/2'
'x+1/2,y,-z+1/2'
'x+1/2,-y+1/2,-z+1/2'
'-x+1/2,y+1/2,z+1/2'
'-x,y+1/2,-z'
'x,-y+1/2,z'
loop_
_atom_site_label
_atom_site_type_symbol
_atom_site_fract_x
_atom_site_fract_y
_atom_site_fract_z
Tb1 Tb 0.050 0.250 0.136
Tb2 Tb 0.128 0.750 0.549
Tb3 Tb 0.227 0.250 0.776
Hg1 Hg 0.014 0.750 0.321
Te1 Te 0.181 0.750 0.985
```